Record 1
A plane-wave DFT calculation with SCAN was carried out for Ta2W at its PBEsol-relaxed geometry. Values from VASP.

```
&SYSTEM
  ibrav = 0, nat = 3, ntyp = 2
/
ATOMIC_SPECIES
Ta 180.95 Ta.upf
W 183.84 W.upf
ATOMIC_POSITIONS crystal
Ta 0.161 0.161 0.000
Ta 0.839 0.839 0.000
W 0.500 0.500 0.000
CELL_PARAMETERS angstrom
-1.612 1.612 4.871
1.612 -1.612 4.871
1.612 1.612 -4.871
```

SG ... I4/mmm, No. 139
Relative energy among the computed polymorphs ... 0.6 kJ/mol of formula units
E_form ... -8.14 kJ per mole of atoms


Record 2
A plane-wave DFT calculation with SCAN was carried out for NaBe2PtPb at its PBEsol-relaxed geometry. Values from VASP.

```
&SYSTEM
  ibrav = 0, nat = 5, ntyp = 4
/
ATOMIC_SPECIES
Na 22.99 Na.upf
Be 9.01 Be.upf
Pt 195.08 Pt.upf
Pb 207.20 Pb.upf
ATOMIC_POSITIONS crystal
Na 0.000 0.000 0.000
Be 0.000 0.500 0.500
Be 0.500 0.000 0.500
Pt 0.500 0.500 0.000
Pb 0.500 0.500 0.500
CELL_PARAMETERS angstrom
4.603 0.000 0.000
0.000 4.603 0.000
0.000 0.000 5.184
```

SG ... P4/mmm, No. 123
E_form ... 78.45 kJ per mole of atoms


Record 3
A plane-wave DFT calculation with SCAN was carried out for CaReNi2 at its PBEsol-relaxed geometry. Values from VASP.

```
&SYSTEM
  ibrav = 0, nat = 4, ntyp = 3
/
ATOMIC_SPECIES
Ca 40.08 Ca.upf
Re 186.21 Re.upf
Ni 58.69 Ni.upf
ATOMIC_POSITIONS crystal
Ca 0.000 0.000 0.000
Re 0.500 0.500 0.500
Ni 0.243 0.243 0.243
Ni 0.757 0.757 0.757
CELL_PARAMETERS angstrom
1.387 0.801 8.709
-1.387 0.801 8.709
0.000 -1.602 8.709
```

SG ... R-3m, No. 166
Relative energy among the computed polymorphs ... 90.6 kJ/mol of formula units
E_form ... 59.56 kJ per mole of atoms


Record 4
A plane-wave DFT calculation with SCAN was carried out for Ta2MnAg at its PBEsol-relaxed geometry. Values from VASP.

```
&SYSTEM
  ibrav = 0, nat = 4, ntyp = 3
/
ATOMIC_SPECIES
Ta 180.95 Ta.upf
Mn 54.94 Mn.upf
Ag 107.87 Ag.upf
ATOMIC_POSITIONS crystal
Ta 0.079 0.000 0.277
Ta 0.921 0.000 0.723
Mn 0.500 0.500 0.500
Ag 0.500 0.500 0.000
CELL_PARAMETERS angstrom
2.824 0.000 0.000
0.000 3.904 0.000
-0.837 0.000 5.656
```

SG ... P2/m, No. 10
Relative energy among the computed polymorphs ... 0.0 kJ/mol of formula units
E_form ... 22.93 kJ per mole of atoms


Record 5
A plane-wave DFT calculation with SCAN was carried out for CrTeP2 at its PBEsol-relaxed geometry. Values from VASP.

```
&SYSTEM
  ibrav = 0, nat = 4, ntyp = 3
/
ATOMIC_SPECIES
Cr 52.00 Cr.upf
Te 127.60 Te.upf
P 30.97 P.upf
ATOMIC_POSITIONS crystal
Cr 0.000 0.000 0.000
Te 0.500 0.500 0.500
P 0.363 0.363 0.174
P 0.637 0.637 0.826
CELL_PARAMETERS angstrom
2.771 -1.532 0.000
2.771 1.532 0.000
-1.060 0.000 8.265
```

SG ... C2/m, No. 12
Uncorrected energy ... -19.029 eV per atom


Record 6
A plane-wave DFT calculation with SCAN was carried out for Nd2Mo4O15 at its PBEsol-relaxed geometry. Values from VASP.

```
&SYSTEM
  ibrav = 0, nat = 42, ntyp = 3
/
ATOMIC_SPECIES
Nd 144.24 Nd.upf
Mo 95.94 Mo.upf
O 16.00 O.upf
ATOMIC_POSITIONS crystal
Nd 0.176 0.095 0.223
Nd 0.263 0.595 0.779
Nd 0.737 0.405 0.221
Nd 0.824 0.905 0.777
Mo 0.065 0.760 0.480
Mo 0.221 0.579 0.128
Mo 0.270 0.080 0.873
Mo 0.409 0.333 0.461
Mo 0.591 0.667 0.539
Mo 0.730 0.920 0.127
Mo 0.779 0.421 0.872
Mo 0.935 0.240 0.520
O 0.071 0.409 0.180
O 0.087 0.742 0.627
O 0.125 0.960 0.408
O 0.148 0.909 0.817
O 0.154 0.788 0.192
O 0.171 0.277 0.544
O 0.202 0.579 0.416
O 0.204 0.102 0.019
O 0.217 0.608 0.982
O 0.229 0.290 0.808
O 0.379 0.247 0.328
O 0.416 0.508 0.598
O 0.448 0.503 0.152
O 0.448 0.829 0.486
O 0.493 0.993 0.153
O 0.507 0.007 0.847
O 0.552 0.171 0.514
O 0.552 0.497 0.848
O 0.584 0.492 0.402
O 0.621 0.753 0.672
O 0.771 0.710 0.192
O 0.783 0.392 0.018
O 0.796 0.898 0.981
O 0.798 0.421 0.584
O 0.829 0.723 0.456
O 0.846 0.212 0.808
O 0.852 0.091 0.183
O 0.875 0.040 0.592
O 0.913 0.258 0.373
O 0.929 0.591 0.820
CELL_PARAMETERS angstrom
7.270 0.000 0.000
0.714 7.457 0.000
1.518 0.089 11.760
```

SG ... P-1, No. 2
Uncorrected energy ... -17.845 eV per atom


Record 7
A plane-wave DFT calculation with SCAN was carried out for YSi2Rh2 at its PBEsol-relaxed geometry. Values from VASP.

```
&SYSTEM
  ibrav = 0, nat = 5, ntyp = 3
/
ATOMIC_SPECIES
Y 88.91 Y.upf
Si 28.09 Si.upf
Rh 102.91 Rh.upf
ATOMIC_POSITIONS crystal
Y 0.000 0.000 0.000
Si 0.378 0.378 0.000
Si 0.622 0.622 0.000
Rh 0.250 0.750 0.500
Rh 0.750 0.250 0.500
CELL_PARAMETERS angstrom
-2.004 2.004 4.957
2.004 -2.004 4.957
2.004 2.004 -4.957
```

SG ... I4/mmm, No. 139
Uncorrected energy ... -24.347 eV per atom


Record 8
A plane-wave DFT calculation with SCAN was carried out for MgTl2Cl at its PBEsol-relaxed geometry. Values from VASP.

```
&SYSTEM
  ibrav = 0, nat = 4, ntyp = 3
/
ATOMIC_SPECIES
Mg 24.30 Mg.upf
Tl 204.38 Tl.upf
Cl 35.45 Cl.upf
ATOMIC_POSITIONS crystal
Mg 0.000 0.000 0.000
Tl 0.000 0.500 0.500
Tl 0.500 0.000 0.500
Cl 0.500 0.500 0.000
CELL_PARAMETERS angstrom
3.635 -4.121 0.000
3.635 4.121 0.000
-0.216 0.000 3.362
```

SG ... C2/m, No. 12
Relative energy among the computed polymorphs ... 70.9 kJ/mol of formula units


Record 9
A plane-wave DFT calculation with SCAN was carried out for MnNiSbTe2 at its PBEsol-relaxed geometry. Values from VASP.

```
&SYSTEM
  ibrav = 0, nat = 5, ntyp = 4
/
ATOMIC_SPECIES
Mn 54.94 Mn.upf
Ni 58.69 Ni.upf
Sb 121.76 Sb.upf
Te 127.60 Te.upf
ATOMIC_POSITIONS crystal
Mn 0.000 0.000 0.000
Ni 0.500 0.500 0.500
Sb 0.000 0.000 0.500
Te 0.000 0.500 0.000
Te 0.500 0.000 0.000
CELL_PARAMETERS angstrom
4.996 0.000 0.000
0.000 4.996 0.000
0.000 0.000 4.845
```

SG ... P4/mmm, No. 123
Relative energy among the computed polymorphs ... 212.4 kJ/mol of formula units


Record 10
A plane-wave DFT calculation with SCAN was carried out for HgPNO2 at its PBEsol-relaxed geometry. Values from VASP.

```
&SYSTEM
  ibrav = 0, nat = 5, ntyp = 4
/
ATOMIC_SPECIES
Hg 200.59 Hg.upf
P 30.97 P.upf
N 14.01 N.upf
O 16.00 O.upf
ATOMIC_POSITIONS crystal
Hg 0.000 0.000 0.000
P 0.500 0.500 0.500
N 0.000 0.000 0.500
O 0.000 0.500 0.000
O 0.500 0.000 0.000
CELL_PARAMETERS angstrom
4.035 0.000 0.000
0.000 4.035 0.000
0.000 0.000 4.183
```

SG ... P4/mmm, No. 123
Uncorrected energy ... -18.441 eV per atom


Record 11
A plane-wave DFT calculation with SCAN was carried out for LiZnRh at its PBEsol-relaxed geometry. Values from VASP.

```
&SYSTEM
  ibrav = 0, nat = 3, ntyp = 3
/
ATOMIC_SPECIES
Li 6.94 Li.upf
Zn 65.41 Zn.upf
Rh 102.91 Rh.upf
ATOMIC_POSITIONS crystal
Li 0.000 0.000 0.000
Zn 0.673 0.673 0.000
Rh 0.334 0.334 0.000
CELL_PARAMETERS angstrom
-1.554 1.554 3.984
1.554 -1.554 3.984
1.554 1.554 -3.984
```

SG ... I4mm, No. 107
Relative energy among the computed polymorphs ... 0.0 kJ/mol of formula units
E_form ... -29.18 kJ per mole of atoms


Record 12
A plane-wave DFT calculation with SCAN was carried out for AlPtRh2 at its PBEsol-relaxed geometry. Values from VASP.

```
&SYSTEM
  ibrav = 0, nat = 4, ntyp = 3
/
ATOMIC_SPECIES
Al 26.98 Al.upf
Pt 195.08 Pt.upf
Rh 102.91 Rh.upf
ATOMIC_POSITIONS crystal
Al 0.000 0.000 0.000
Pt 0.500 0.500 0.000
Rh 0.000 0.500 0.500
Rh 0.500 0.000 0.500
CELL_PARAMETERS angstrom
2.748 -3.626 0.000
2.748 3.626 0.000
0.000 0.000 2.773
```

SG ... Cmmm, No. 65
E_form ... -61.78 kJ per mole of atoms